# 1
KScGe: relaxed, PBE-GGA.

Unit cell a=8.063 b=4.655 c=11.250 alpha=90.00 beta=90.15 gamma=90.00
Space group Cm (No. 8)
Unique sites:
K 0.000 0.000 0.000 [2 per cell]
K 0.164 0.500 0.355 [2 per cell]
Sc 0.332 0.000 0.770 [2 per cell]
Sc 0.498 0.500 0.615 [2 per cell]
Ge 0.165 0.500 0.771 [2 per cell]
Ge 0.331 0.000 0.533 [2 per cell]

Properties
* calculated formation energy: -0.710 eV per formula unit

# 2
KScGe: relaxed, PBE-GGA.

Unit cell a=6.5478 b=6.5478 c=10.0259 alpha=90.00 beta=90.00 gamma=120.00
Space group P6_3/mmc (No. 194)
Unique sites:
K 0.3333 0.6667 0.2500 [2 per cell]
Sc 0.0000 0.0000 0.2500 [2 per cell]
Ge 0.0000 0.0000 0.0000 [2 per cell]

Properties
* calculated formation energy: 2.597 eV per formula unit

# 3
KSc2Ge2: relaxed, PBE-GGA.

Unit cell a=4.816 b=4.816 c=11.515 alpha=90.00 beta=90.00 gamma=90.00
Space group I4/mmm (No. 139)
Unique sites:
K 0.000 0.000 0.000 [2 per cell]
Sc 0.000 0.500 0.250 [4 per cell]
Ge 0.000 0.000 0.374 [4 per cell]

Properties
* calculated formation energy: -1.475 eV per formula unit

# 4
KSc2Ge: relaxed, PBE-GGA.

Unit cell a=6.035 b=6.035 c=17.771 alpha=90.00 beta=90.00 gamma=90.00
Space group I-42d (No. 122)
Unique sites:
K 0.000 0.000 0.000 [4 per cell]
Sc 0.001 0.250 0.625 [8 per cell]
Ge 0.000 0.000 0.500 [4 per cell]

Properties
* calculated formation energy: 1.766 eV per formula unit

# 5
KSc2Ge2: relaxed, PBE-GGA.

Unit cell a=8.455 b=8.455 c=3.109 alpha=90.00 beta=90.00 gamma=90.00
Space group P4/mbm (No. 127)
Unique sites:
K 0.000 0.000 0.000 [2 per cell]
Sc 0.132 0.368 0.000 [4 per cell]
Ge 0.162 0.662 0.500 [4 per cell]

Properties
* calculated formation energy: -2.069 eV per formula unit

# 6
K2Sc2GeSe6: relaxed, PBE-GGA.

Unit cell a=6.725 b=11.740 c=8.208 alpha=90.00 beta=106.46 gamma=90.00
Space group C2/m (No. 12)
Unique sites:
K 0.000 0.169 0.000 [4 per cell]
Sc 0.000 0.330 0.500 [4 per cell]
Ge 0.000 0.000 0.500 [2 per cell]
Se 0.229 0.159 0.690 [8 per cell]
Se 0.248 0.500 0.684 [4 per cell]

Properties
* formation energy (no corrections): -1.191 eV/atom

# 7
KScGeSe4: relaxed, PBE-GGA.

Unit cell a=6.577 b=7.045 c=9.108 alpha=90.00 beta=108.30 gamma=90.00
Space group P2_1/m (No. 11)
Unique sites:
K 0.238 0.250 0.052 [2 per cell]
Sc 0.217 0.250 0.549 [2 per cell]
Ge 0.234 0.750 0.341 [2 per cell]
Se 0.017 0.507 0.699 [4 per cell]
Se 0.444 0.750 0.175 [2 per cell]
Se 0.478 0.750 0.591 [2 per cell]

Properties
* formation energy (no corrections): -1.001 eV/atom

# 8
K2ScGeTe4: relaxed, PBE-GGA.

Unit cell a=8.745 b=9.469 c=12.814 alpha=90.00 beta=90.00 gamma=90.00
Space group Imma (No. 74)
Unique sites:
K 0.000 0.000 0.000 [4 per cell]
K 0.250 0.250 0.250 [4 per cell]
Sc 0.250 0.250 0.750 [4 per cell]
Ge 0.000 0.000 0.500 [4 per cell]
Te 0.000 0.036 0.734 [8 per cell]
Te 0.217 0.250 0.522 [8 per cell]

Properties
* formation energy (no corrections): -0.768 eV/atom